Entry 1:
A plane-wave DFT calculation with GGA-PBE was carried out for a geometry-optimized KCd2Mo structure.

Cell: 2.780 7.214 6.030 Å, 49.76 90.00 90.00°
Fractional coordinates of all 4 atoms:
Cd: 0.500 0.500 0.000
Cd: 0.000 0.000 0.000
Mo: 0.000 0.000 0.500
K: 0.500 0.500 0.500

Values from the calculation:
Magnetic moment: 0.30 μB per cell
Raw total energy: -2.6856 eV per atom
ΔH_f (0 K): 0.754 eV per atom
Energy above the most stable polymorph in this dataset: 238 meV per atom

=====

Entry 2:
A plane-wave DFT calculation with GGA-PBE was carried out for a geometry-optimized KCd2Mo structure.

Cell: 5.066 5.066 7.443 Å, 86.45 86.45 32.22°
Fractional coordinates of all 4 atoms:
Mo: 0.250 0.250 0.250
Cd: 0.990 0.990 0.068
Cd: 0.510 0.510 0.432
K: 0.750 0.750 0.750

Values from the calculation:
Magnetic moment: 0.83 μB per cell
Raw total energy: -2.7929 eV per atom
ΔH_f (0 K): 0.647 eV per atom
Energy above the most stable polymorph in this dataset: 131 meV per atom

=====

Entry 3:
A plane-wave DFT calculation with GGA-PBE was carried out for a geometry-optimized KCd2Mo structure.

Cell: 5.197 5.197 5.197 Å, 60.00 60.00 60.00°
Fractional coordinates of all 4 atoms:
Cd: 0.250 0.250 0.250
Cd: 0.750 0.750 0.750
Mo: 0.500 0.500 0.500
K: 0.000 0.000 0.000

Values from the calculation:
Magnetic moment: 3.02 μB per cell
Raw total energy: -2.5920 eV per atom
ΔH_f (0 K): 0.848 eV per atom
Energy above the most stable polymorph in this dataset: 331 meV per atom

=====

Entry 4:
A plane-wave DFT calculation with GGA-PBE was carried out for a geometry-optimized KCd2Mo structure.

Cell: 3.746 3.746 8.121 Å, 90.00 90.00 90.00°
Fractional coordinates of all 4 atoms:
K: 0.000 0.000 0.510
Cd: 0.000 0.000 0.961
Cd: 0.500 0.500 0.194
Mo: 0.500 0.500 0.835

Values from the calculation:
Magnetic moment: 3.05 μB per cell
Raw total energy: -2.6388 eV per atom
ΔH_f (0 K): 0.801 eV per atom
Energy above the most stable polymorph in this dataset: 285 meV per atom

=====

Entry 5:
A plane-wave DFT calculation with GGA-PBE was carried out for a geometry-optimized KCd2Mo structure.

Cell: 5.173 5.173 5.173 Å, 60.00 60.00 60.00°
Fractional coordinates of all 4 atoms:
Mo: 0.750 0.750 0.750
Cd: 0.000 0.000 0.000
Cd: 0.250 0.250 0.250
K: 0.500 0.500 0.500

Values from the calculation:
Magnetic moment: 3.38 μB per cell
Raw total energy: -2.4773 eV per atom
ΔH_f (0 K): 0.962 eV per atom
Energy above the most stable polymorph in this dataset: 446 meV per atom

=====

Entry 6:
A plane-wave DFT calculation with GGA-PBE was carried out for a geometry-optimized KCd2Mo structure.

Cell: 5.543 5.543 2.882 Å, 90.00 90.00 90.00°
Fractional coordinates of all 4 atoms:
Mo: 0.000 0.500 0.500
K: 0.500 0.000 0.500
Cd: 0.000 0.000 0.000
Cd: 0.500 0.500 0.000

Values from the calculation:
Magnetic moment: 0.66 μB per cell
Raw total energy: -2.8026 eV per atom
ΔH_f (0 K): 0.637 eV per atom
Energy above the most stable polymorph in this dataset: 121 meV per atom

=====

Entry 7:
A plane-wave DFT calculation with GGA-PBE was carried out for a geometry-optimized KCd2Mo structure.

Cell: 4.353 2.866 8.430 Å, 69.98 90.00 90.00°
Fractional coordinates of all 4 atoms:
Mo: 0.500 0.750 0.750
K: 0.500 0.250 0.250
Cd: 0.000 0.435 0.566
Cd: 0.000 0.065 0.934

Values from the calculation:
Magnetic moment: 0.79 μB per cell
Raw total energy: -2.9036 eV per atom
ΔH_f (0 K): 0.536 eV per atom
Energy above the most stable polymorph in this dataset: 20 meV per atom

=====

Entry 8:
A plane-wave DFT calculation with GGA-PBE was carried out for a geometry-optimized KCd2Mo structure.

Cell: 6.704 6.704 6.704 Å, 155.71 129.90 56.43°
Fractional coordinates of all 4 atoms:
Cd: 0.771 0.271 0.500
Cd: 0.012 0.012 0.000
Mo: 0.221 0.721 0.500
K: 0.496 0.496 0.000

Values from the calculation:
Magnetic moment: 0.41 μB per cell
Raw total energy: -2.7183 eV per atom
ΔH_f (0 K): 0.721 eV per atom
Energy above the most stable polymorph in this dataset: 205 meV per atom

=====

Q: Look up the energy above the most stable polymorph in this dataset of the fourth one.
A: 285 meV per atom

=====

Q: Among the records above, which one has the lowest raw total energy?
A: number 7

=====

Q: Which value of raw total energy does entry 5 give?
A: -2.4773 eV per atom